A plane-wave DFT calculation with PBE with a Hubbard U was carried out for crystalline LaNiO2F at its relaxed geometry.

POSCAR file:
```
LaNiO2F
1.0
-0.535 1.799 -3.542
-3.957 -0.561 0.313
-0.339 3.375 1.766
F Ni O La
1 1 2 1
Cartesian
-0.169 1.688 0.883
0.000 0.000 0.000
-0.268 0.899 -1.771
-1.978 -0.280 0.156
-2.415 2.307 -0.732
```

D(E_F), states/eV/f.u.: 0.056
DFT total energy, eV for the cell shown: -30.859